Compound: Lu2ThO
Source: Alexandria via LeMat-Bulk
Functional: PBE
Structure: relaxed

Lattice parameters (Å, degrees): 3.4239 3.4239 25.8663 90.00 90.00 120.00
Space group R-3m (No. 166, hexagonal axes)
One atom of each set of equivalent atoms:
Lu: 0.0000 0.0000 0.2188 [6 per cell]
Th: 0.0000 0.0000 0.0000 [3 per cell]
O: 0.0000 0.0000 0.5000 [3 per cell]

Properties
N(E_F) ... 0.589 states/eV/atom
ΔE to the lowest computed polymorph ... 0.00 eV/f.u.
Formation energy from raw total energies ... -1.38 eV/atom
Crystal system ... trigonal

***

Compound: AlAg2Pb
Source: Alexandria via LeMat-Bulk
Functional: PBE
Structure: relaxed

Lattice parameters (Å, degrees): 4.350 4.350 8.828 90.00 90.00 90.00
Space group I4/mmm (No. 139)
One atom of each set of equivalent atoms:
Al: 0.000 0.000 0.000 [2 per cell]
Ag: 0.000 0.500 0.250 [4 per cell]
Pb: 0.000 0.000 0.500 [2 per cell]

Properties
N(E_F) ... 0.425 states/eV/atom
ΔE to the lowest computed polymorph ... 0.50 eV/f.u.
Formation enthalpy at 0 K ... 0.1680 eV per atom
Crystal system ... tetragonal

***

Compound: Li3CdAu3
Source: Alexandria via LeMat-Bulk
Functional: PBE
Structure: relaxed

Lattice parameters (Å, degrees): 7.097 7.097 7.097 90.00 90.00 90.00
Space group Pm-3n (No. 223)
One atom of each set of equivalent atoms:
Li: 0.000 0.250 0.500 [6 per cell]
Cd: 0.000 0.000 0.000 [2 per cell]
Au: 0.000 0.500 0.250 [6 per cell]

Properties
N(E_F) ... 0.013 states/eV/atom
ΔE to the lowest computed polymorph ... 2.58 eV/f.u.
Formation enthalpy at 0 K ... -0.0389 eV per atom
Crystal system ... cubic

***

Compound: TbTm3Th4
Source: Alexandria via LeMat-Bulk
Functional: PBE
Structure: relaxed

Lattice parameters (Å, degrees): 11.610 7.083 6.186 90.00 90.00 90.00
Space group Pmn2_1 (No. 31)
One atom of each set of equivalent atoms:
Tb: 0.000 0.128 0.000 [2 per cell]
Tm: 0.000 0.874 0.501 [2 per cell]
Tm: 0.250 0.127 0.343 [4 per cell]
Th: 0.000 0.382 0.507 [2 per cell]
Th: 0.000 0.623 0.008 [2 per cell]
Th: 0.249 0.619 0.335 [4 per cell]

Properties
N(E_F) ... 1.388 states/eV/atom
ΔE to the lowest computed polymorph ... 0.00 eV/f.u.
Formation enthalpy at 0 K ... 0.0501 eV per atom
Crystal system ... orthorhombic

***

| no. | total magnetic moment (μB per formula unit) | E_tot (Ry/atom) |
| --- | --- | --- |
| 1 | 0.000 | -0.49524 |
| 2 | 0.000 | -0.22934 |
| 3 | 0.000 | -0.17599 |
| 4 | 0.000 | -0.43477 |